[1]
Below is a geometry-optimized Y2Cd2Si structure, with properties calculated at the GGA-PBE level.

Values from the calculation:
* DOS(E_F): 0.29 states/eV/atom
* uncorrected energy: -21.4 eV per formula unit
* magnetic moment: 0.00 μB per formula unit
* symmetry: No. 127
* formation energy (no corrections): -1.17 eV per formula unit

a = 7.1546 Å, b = 7.1546 Å, c = 4.7462 Å
α = 90.00°, β = 90.00°, γ = 90.00°
Closest atoms and distances in Å follow each position.
Fractional coordinates of all 10 atoms:
Y 0.1702 0.3298 0.0000  6 Cd 3.07-3.24
Y 0.3298 0.8298 0.0000  6 Cd 3.07-3.24
Y 0.6702 0.1702 0.0000  6 Cd 3.07-3.24
Y 0.8298 0.6702 0.0000  6 Cd 3.07-3.24
Cd 0.1367 0.6367 0.5000  1 Cd 2.77, 2 Si 2.78, 2 Y 3.07
Cd 0.3633 0.1367 0.5000  1 Cd 2.77, 2 Si 2.78, 2 Y 3.07
Cd 0.6367 0.8633 0.5000  1 Cd 2.77, 2 Si 2.78, 2 Y 3.07
Cd 0.8633 0.3633 0.5000  1 Cd 2.77, 2 Si 2.78, 2 Y 3.07
Si 0.0000 0.0000 0.5000  4 Cd 2.78
Si 0.5000 0.5000 0.5000  4 Cd 2.78

[2]
Below is a geometry-optimized YCdSi2 structure, with properties calculated at the GGA-PBE level.

Values from the calculation:
* DOS(E_F): 0.79 states/eV/atom
* uncorrected energy: -18.4 eV per formula unit
* magnetic moment: 0.00 μB per formula unit
* symmetry: No. 65
* formation energy (no corrections): -0.17 eV per formula unit

a = 3.6612 Å, b = 3.6612 Å, c = 6.1788 Å
α = 90.00°, β = 90.00°, γ = 90.23°
Closest atoms and distances in Å follow each position.
Fractional coordinates of all 4 atoms:
Y 0.0000 0.0000 0.0000  2 Cd 3.09, 8 Si 3.16-3.17
Cd 0.0000 0.0000 0.5000  8 Si 2.88-2.89, 2 Y 3.09
Si 0.5000 0.5000 0.2955  1 Si 2.53
Si 0.5000 0.5000 0.7045  1 Si 2.53

[3]
Below is a geometry-optimized YCdSi2 structure, with properties calculated at the GGA-PBE level.

Values from the calculation:
* DOS(E_F): 0.31 states/eV/atom
* uncorrected energy: -18.9 eV per formula unit
* magnetic moment: 0.00 μB per formula unit
* symmetry: No. 12
* formation energy (no corrections): -0.70 eV per formula unit

a = 5.1047 Å, b = 5.1047 Å, c = 5.1463 Å
α = 112.36°, β = 112.36°, γ = 44.14°
Closest atoms and distances in Å follow each position.
Fractional coordinates of all 4 atoms:
Y 0.0000 0.0000 0.0000  6 Si 3.01-3.21, 4 Cd 3.21
Cd 0.5000 0.5000 0.5000  6 Si 2.81-2.87
Si 0.2471 0.2471 0.6527  2 Si 2.49
Si 0.7529 0.7529 0.3473  2 Si 2.49

[4]
Below is a geometry-optimized YCdSi2 structure, with properties calculated at the GGA-PBE level.

Values from the calculation:
* DOS(E_F): 0.60 states/eV/atom
* uncorrected energy: -18.6 eV per formula unit
* magnetic moment: 0.00 μB per formula unit
* symmetry: No. 99
* formation energy (no corrections): -0.35 eV per formula unit

a = 3.4340 Å, b = 3.4340 Å, c = 6.9027 Å
α = 90.00°, β = 90.00°, γ = 90.00°
Closest atoms and distances in Å follow each position.
Fractional coordinates of all 4 atoms:
Y 0.0000 0.0000 0.0000  5 Si 2.87-3.07
Cd 0.5000 0.5000 0.3245  5 Si 2.78-3.02
Si 0.0000 0.0000 0.5849  4 Si 2.62, 1 Y 2.87
Si 0.5000 0.5000 0.7272  4 Si 2.62, 1 Cd 2.78

[5]
Below is a geometry-optimized YCdSi structure, with properties calculated at the GGA-PBE level.

Values from the calculation:
* DOS(E_F): 0.69 states/eV/atom
* uncorrected energy: -12.7 eV per formula unit
* magnetic moment: 0.00 μB per formula unit
* symmetry: No. 216
* formation energy (no corrections): 0.15 eV per formula unit

a = 4.8288 Å, b = 4.8288 Å, c = 4.8288 Å
α = 60.00°, β = 60.00°, γ = 60.00°
Closest atoms and distances in Å follow each position.
Fractional coordinates of all 3 atoms:
Y 0.0000 0.0000 0.0000  4 Cd 2.96, 4 Si 2.96
Cd 0.2500 0.2500 0.2500  4 Y 2.96
Si 0.7500 0.7500 0.7500  4 Y 2.96

[6]
Below is a geometry-optimized YCdSi2 structure, with properties calculated at the GGA-PBE level.

Values from the calculation:
* DOS(E_F): 0.27 states/eV/atom
* uncorrected energy: -19.1 eV per formula unit
* magnetic moment: 0.00 μB per formula unit
* symmetry: No. 44
* formation energy (no corrections): -0.91 eV per formula unit

a = 5.7492 Å, b = 5.7492 Å, c = 5.7492 Å
α = 141.51°, β = 136.15°, γ = 59.74°
Closest atoms and distances in Å follow each position.
Fractional coordinates of all 4 atoms:
Y 0.0000 0.0000 0.0000  8 Si 2.93-3.22, 2 Cd 3.12
Cd 0.2724 0.7724 0.5000  6 Si 2.88-3.01, 2 Y 3.12
Si 0.5613 0.5613 0.0000  2 Si 2.59
Si 0.7386 0.2386 0.5000  2 Si 2.59, 4 Cd 2.88

Which of these has the highest DOS(E_F)?
number 2